Record 1
An optimized crystal structure of TcHg2As. Source: the Alexandria database, functional PBE.

```
data_TcHg2As
_chemical_formula_sum 'Tc3 Hg6 As3'
_space_group_name_H-M_alt 'R 3 m'
_space_group_IT_number 160
_space_group_name_Hall 'R 3 -2"'
_cell_length_a 3.0636
_cell_length_b 3.0636
_cell_length_c 31.4038
_cell_angle_alpha 90.00
_cell_angle_beta 90.00
_cell_angle_gamma 120.00
loop_
_atom_site_label
_atom_site_type_symbol
_atom_site_fract_x
_atom_site_fract_y
_atom_site_fract_z
_atom_site_occupancy
Tc1 Tc 0.0000 0.0000 0.0000 1
Hg1 Hg 0.0000 0.0000 0.5107 1
Hg2 Hg 0.0000 0.0000 0.7431 1
As1 As 0.0000 0.0000 0.2782 1
```

Summary:
The magnetization is 0.0 Bohr magnetons per cell. The calculation puts the total energy at -3.787 eV/atom. Its formation enthalpy at 0 K is 118 meV per atom. For the density of states at the Fermi level, the calculation gives 6.39 states/eV per cell.



Record 2
An optimized crystal structure of HoIn3Hg4. Source: the Alexandria database, functional PBE.

```
data_HoIn3Hg4
_chemical_formula_sum 'Ho3 In9 Hg12'
_space_group_name_H-M_alt 'R -3 m'
_space_group_IT_number 166
_space_group_name_Hall '-R 3 2"'
_cell_length_a 5.0769
_cell_length_b 5.0769
_cell_length_c 26.9364
_cell_angle_alpha 90.00
_cell_angle_beta 90.00
_cell_angle_gamma 120.00
loop_
_atom_site_label
_atom_site_type_symbol
_atom_site_fract_x
_atom_site_fract_y
_atom_site_fract_z
_atom_site_occupancy
Ho1 Ho 0.0000 0.0000 0.0000 1
In1 In 0.0000 0.0000 0.2558 1
In2 In 0.0000 0.0000 0.5000 1
Hg1 Hg 0.0000 0.0000 0.1250 1
Hg2 Hg 0.0000 0.0000 0.3768 1
```

Summary:
The magnetization is 0.0 Bohr magnetons per cell. The calculation puts the total energy at -1.898 eV/atom. Its formation enthalpy at 0 K is -148 meV per atom. For the density of states at the Fermi level, the calculation gives 10.76 states/eV per cell.



Record 3
An optimized crystal structure of Ac3Sn2H. Source: the Alexandria database, functional PBE.

```
data_Ac3Sn2H
_chemical_formula_sum 'Ac12 Sn8 H4'
_space_group_name_H-M_alt 'C 1 2/c 1'
_space_group_IT_number 15
_cell_length_a 14.5087
_cell_length_b 6.7047
_cell_length_c 9.3888
_cell_angle_alpha 90.00
_cell_angle_beta 108.37
_cell_angle_gamma 90.00
loop_
_space_group_symop_operation_xyz
'x,y,z'
'-x,-y,-z'
'-x,y,-z+1/2'
'x,-y,z+1/2'
'x+1/2,y+1/2,z'
'-x+1/2,-y+1/2,-z'
'-x+1/2,y+1/2,-z+1/2'
'x+1/2,-y+1/2,z+1/2'
loop_
_atom_site_label
_atom_site_type_symbol
_atom_site_fract_x
_atom_site_fract_y
_atom_site_fract_z
_atom_site_occupancy
Ac1 Ac 0.0000 0.0467 0.2500 1
Ac2 Ac 0.1614 0.4927 0.5858 1
Sn1 Sn 0.1678 0.0085 0.0808 1
H1 H 0.0000 0.4377 0.2500 1
```

Summary:
The magnetization is 0.0 Bohr magnetons per cell. The calculation puts the total energy at -4.366 eV/atom. For the density of states at the Fermi level, the calculation gives 11.77 states/eV per cell.



Record 4
An optimized crystal structure of KRb2BaBr6. Source: the Alexandria database, functional PBE.

```
data_KRb2BaBr6
_chemical_formula_sum 'K4 Rb8 Ba4 Br24'
_space_group_name_H-M_alt 'F m -3 m'
_space_group_IT_number 225
_space_group_name_Hall '-F 4 2 3'
_cell_length_a 12.5790
_cell_length_b 12.5790
_cell_length_c 12.5790
_cell_angle_alpha 90.00
_cell_angle_beta 90.00
_cell_angle_gamma 90.00
loop_
_atom_site_label
_atom_site_type_symbol
_atom_site_fract_x
_atom_site_fract_y
_atom_site_fract_z
_atom_site_occupancy
K1 K 0.0000 0.0000 0.0000 1
Rb1 Rb 0.2500 0.2500 0.2500 1
Ba1 Ba 0.0000 0.0000 0.5000 1
Br1 Br 0.0000 0.0000 0.2494 1
```

Summary:
The magnetization is 4.0 Bohr magnetons per cell. The uncorrected formation energy comes out at -1.5068 eV per atom. The calculation puts the total energy at -3.006 eV/atom. For the density of states at the Fermi level, the calculation gives 69.84 states/eV per cell.